(1)
# LiGa2Ni

Crystalline LiGa2Ni at its relaxed geometry (PBE, Alexandria via LeMat-Bulk).

Computed properties:
Excess energy over the best structure of this formula in the dataset ... 0.214 eV per formula unit
SG ... P4/mmm
Fermi-level density of states ... 0.29 states/eV per atom

Cell lengths 3.054, 3.054, 5.818 Å; angles 90.00, 90.00, 90.00 degrees
Atoms (fractional coordinates):
Ni  0.500  0.500  0.000
Ga  0.000  0.000  0.766
Ga  0.000  0.000  0.234
Li  0.500  0.500  0.500

---

(2)
# Er6As5P

Crystalline Er6As5P at its relaxed geometry (PBE, Alexandria via LeMat-Bulk).

Computed properties:
SG ... C2/m
Fermi-level density of states ... 0.11 states/eV per atom

Cell lengths 7.037, 7.042, 7.039 Å; angles 59.99, 80.40, 70.53 degrees
Atoms (fractional coordinates):
P  0.000  0.000  0.000
As  0.500  0.168  0.664
As  0.000  0.333  0.333
As  0.500  0.500  0.000
As  0.000  0.667  0.667
As  0.500  0.832  0.336
Er  0.753  0.082  0.329
Er  0.247  0.589  0.329
Er  0.248  0.246  0.000
Er  0.752  0.754  0.000
Er  0.753  0.411  0.671
Er  0.247  0.918  0.671

---

no.,calculated formation energy (eV/atom)
1,-0.3245
2,-1.5334